(1)
First-principles (GGA-PBE) data for crystalline Pr3TePtBr at its relaxed geometry, as listed in the Alexandria database.

Results
Electronic total energy, eV per formula unit: -32.62
Crystal system: monoclinic
Raw formation energy, meV/atom: -1238.1

Unit cell a=4.080 b=7.604 c=12.088 alpha=102.33 beta=90.00 gamma=90.00
Positions (direct):
Br 0.750 0.885 0.367
Br 0.250 0.115 0.633
Pt 0.250 0.763 0.051
Pt 0.750 0.237 0.949
Te 0.250 0.345 0.304
Te 0.750 0.655 0.696
Pr 0.250 0.451 0.855
Pr 0.250 0.958 0.862
Pr 0.750 0.549 0.145
Pr 0.250 0.708 0.502
Pr 0.750 0.042 0.138
Pr 0.750 0.292 0.498

=====

(2)
First-principles (GGA-PBE) data for crystalline MoWAu at its relaxed geometry, as listed in the Alexandria database.

Results
Energy relative to the lowest polymorph listed for this composition, eV per atom: 0.060
Electronic total energy, eV per formula unit: -26.07
Crystal system: orthorhombic

Unit cell a=5.003 b=5.003 c=5.003 alpha=149.18 beta=128.95 gamma=60.83
Positions (direct):
W 0.668 0.668 0.000
Mo 0.332 0.332 0.000
Au 0.000 0.000 0.000

=====

(3)
First-principles (GGA-PBE) data for crystalline HfInGaN2 at its relaxed geometry, as listed in the Alexandria database.

Results
Electronic total energy, eV per formula unit: -25.64
Crystal system: tetragonal
Raw formation energy, meV/atom: 1346.3

Unit cell a=4.054 b=5.244 c=4.054 alpha=90.00 beta=90.00 gamma=90.00
Positions (direct):
Hf 0.000 0.500 0.000
In 0.500 0.500 0.500
Ga 0.000 0.000 0.000
N 0.000 0.000 0.500
N 0.500 0.000 0.000